Entry 1
This record from Alexandria via LeMat-Bulk describes a relaxed structure of BPb3I. The functional is PBE.

Geometry as CIF:
```
data_BPb3I
_chemical_formula_sum 'B1 Pb3 I1'
_cell_length_a 5.294
_cell_length_b 5.294
_cell_length_c 5.294
_cell_angle_alpha 90.00
_cell_angle_beta 90.00
_cell_angle_gamma 90.00
_space_group_name_H-M_alt 'P m -3 m'
_space_group_IT_number 221
_space_group_name_Hall '-P 4 2 3'
loop_
_atom_site_label
_atom_site_type_symbol
_atom_site_fract_x
_atom_site_fract_y
_atom_site_fract_z
_atom_site_occupancy
B1 B 0.000 0.000 0.000 1
Pb1 Pb 0.000 0.000 0.500 1
I1 I 0.500 0.500 0.500 1
```

N(E_F) in states/eV/f.u.: 6.939
Spin magnetization in μB per atom: 0.0000
Density in g cm⁻³: 8.496

***

Entry 2
This record from Alexandria via LeMat-Bulk describes a relaxed structure of BPb3I. The functional is PBE.

Geometry as CIF:
```
data_BPb3I
_chemical_formula_sum 'B1 Pb3 I1'
_cell_length_a 6.025
_cell_length_b 6.025
_cell_length_c 6.025
_cell_angle_alpha 90.00
_cell_angle_beta 90.00
_cell_angle_gamma 90.00
_space_group_name_H-M_alt 'P m -3 m'
_space_group_IT_number 221
_space_group_name_Hall '-P 4 2 3'
loop_
_atom_site_label
_atom_site_type_symbol
_atom_site_fract_x
_atom_site_fract_y
_atom_site_fract_z
_atom_site_occupancy
B1 B 0.000 0.000 0.000 1
Pb1 Pb 0.000 0.500 0.500 1
I1 I 0.500 0.500 0.500 1
```

N(E_F) in states/eV/f.u.: 1.428
Spin magnetization in μB per atom: 0.0000
Density in g cm⁻³: 5.764

***

Most stable one: entry 1, least stable one: entry 2.

***

Entry 1
This record from Alexandria via LeMat-Bulk describes a relaxed structure of BSbPbI2. The functional is PBE.

Geometry as CIF:
```
data_BSbPbI2
_chemical_formula_sum 'B1 Sb1 Pb1 I2'
_cell_length_a 5.241
_cell_length_b 5.241
_cell_length_c 5.029
_cell_angle_alpha 90.00
_cell_angle_beta 90.00
_cell_angle_gamma 90.00
_space_group_name_H-M_alt 'P 4/m m m'
_space_group_IT_number 123
_space_group_name_Hall '-P 4 2'
loop_
_atom_site_label
_atom_site_type_symbol
_atom_site_fract_x
_atom_site_fract_y
_atom_site_fract_z
_atom_site_occupancy
B1 B 0.000 0.000 0.000 1
Sb1 Sb 0.000 0.000 0.500 1
Pb1 Pb 0.500 0.500 0.500 1
I1 I 0.000 0.500 0.000 1
```

N(E_F) in states/eV/f.u.: 3.048
Spin magnetization in μB per atom: 0.0000
Density in g cm⁻³: 7.136

***

Entry 2
This record from Alexandria via LeMat-Bulk describes a relaxed structure of BSbPbI2. The functional is PBE.

Geometry as CIF:
```
data_BSbPbI2
_chemical_formula_sum 'B1 Sb1 Pb1 I2'
_cell_length_a 6.260
_cell_length_b 6.260
_cell_length_c 6.107
_cell_angle_alpha 90.00
_cell_angle_beta 90.00
_cell_angle_gamma 90.00
_space_group_name_H-M_alt 'P 4/m m m'
_space_group_IT_number 123
_space_group_name_Hall '-P 4 2'
loop_
_atom_site_label
_atom_site_type_symbol
_atom_site_fract_x
_atom_site_fract_y
_atom_site_fract_z
_atom_site_occupancy
B1 B 0.000 0.000 0.000 1
Sb1 Sb 0.500 0.500 0.000 1
Pb1 Pb 0.500 0.500 0.500 1
I1 I 0.000 0.500 0.500 1
```

N(E_F) in states/eV/f.u.: 4.672
Spin magnetization in μB per atom: 0.3336
Density in g cm⁻³: 4.119

***

Most stable one: entry 1, least stable one: entry 2.

***

Entry 1
This record from Alexandria via LeMat-Bulk describes a relaxed structure of BPd2I. The functional is PBE.

Geometry as CIF:
```
data_BPd2I
_chemical_formula_sum 'B4 Pd8 I4'
_cell_length_a 5.204
_cell_length_b 5.204
_cell_length_c 11.951
_cell_angle_alpha 90.00
_cell_angle_beta 90.00
_cell_angle_gamma 90.00
_space_group_name_H-M_alt 'I -4 2 d'
_space_group_IT_number 122
_space_group_name_Hall 'I -4 2bw'
loop_
_atom_site_label
_atom_site_type_symbol
_atom_site_fract_x
_atom_site_fract_y
_atom_site_fract_z
_atom_site_occupancy
B1 B 0.000 0.000 0.000 1
Pd1 Pd 0.129 0.250 0.125 1
I1 I 0.000 0.000 0.500 1
```

N(E_F) in states/eV/f.u.: 0.000
Spin magnetization in μB per atom: 0.0000
Density in g cm⁻³: 7.195

***

Entry 2
This record from Alexandria via LeMat-Bulk describes a relaxed structure of BPd2I. The functional is PBE.

Geometry as CIF:
```
data_BPd2I
_chemical_formula_sum 'B4 Pd8 I4'
_cell_length_a 6.456
_cell_length_b 6.456
_cell_length_c 6.456
_cell_angle_alpha 90.00
_cell_angle_beta 90.00
_cell_angle_gamma 90.00
_space_group_name_H-M_alt 'F m -3 m'
_space_group_IT_number 225
_space_group_name_Hall '-F 4 2 3'
loop_
_atom_site_label
_atom_site_type_symbol
_atom_site_fract_x
_atom_site_fract_y
_atom_site_fract_z
_atom_site_occupancy
B1 B 0.000 0.000 0.000 1
Pd1 Pd 0.250 0.250 0.250 1
I1 I 0.000 0.000 0.500 1
```

N(E_F) in states/eV/f.u.: 1.691
Spin magnetization in μB per atom: 0.0000
Density in g cm⁻³: 8.653

***

Most stable one: entry 1, least stable one: entry 2.